PBE Rb2Cd2Se3, relaxed; formation energy without anion corrections = -0.8984 eV/atom; SG = C2/c
1.0
7.058 0.073 2.676
3.482 11.182 1.339
-0.363 0.061 11.782
Rb Cd Se
8 8 12
Direct
0.866 0.015 0.194 Rb
0.366 0.194 0.015 Rb
0.750 0.286 0.714 Rb
0.750 0.567 0.433 Rb
0.250 0.433 0.567 Rb
0.250 0.714 0.286 Rb
0.634 0.806 0.985 Rb
0.134 0.985 0.806 Rb
0.645 0.352 0.202 Cd
0.624 0.080 0.540 Cd
0.145 0.202 0.352 Cd
0.124 0.540 0.080 Cd
0.876 0.460 0.920 Cd
0.855 0.798 0.648 Cd
0.376 0.920 0.460 Cd
0.355 0.648 0.798 Cd
0.745 0.262 0.409 Se
0.733 0.560 0.147 Se
0.245 0.409 0.262 Se
0.233 0.147 0.560 Se
0.843 0.241 0.989 Se
0.157 0.759 0.011 Se
0.767 0.853 0.440 Se
0.755 0.591 0.738 Se
0.343 0.989 0.241 Se
0.267 0.440 0.853 Se
0.255 0.738 0.591 Se
0.657 0.011 0.759 Se

=====

PBE PaInS2O8, relaxed; Fermi-level density of states = 4.85 states/eV/cell; formation energy without anion corrections = -1.6293 eV/atom; SG = P-3m1
1.0
-5.764 -0.238 1.427
3.171 -5.010 -0.402
1.756 0.535 7.179
Pa In S O
1 1 2 8
Direct
0.000 0.000 0.000 Pa
0.000 0.000 0.500 In
0.333 0.667 0.773 S
0.667 0.333 0.227 S
0.197 0.395 0.847 O
0.197 0.803 0.847 O
0.605 0.803 0.847 O
0.395 0.197 0.153 O
0.667 0.333 0.422 O
0.333 0.667 0.578 O
0.803 0.605 0.153 O
0.803 0.197 0.153 O

=====

PBE BaTa2Mn, relaxed; formation energy = 1.125 eV/atom; Fermi-level density of states = 3.81 states/eV/cell; SG = F-43m
1.0
4.977 0.000 0.000
2.489 4.310 0.000
2.489 1.437 4.064
Ba Mn Ta
1 1 2
Direct
0.500 0.500 0.500 Ba
0.750 0.750 0.750 Mn
0.000 0.000 0.000 Ta
0.250 0.250 0.250 Ta

=====

PBE ZrTeCl, relaxed; Fermi-level density of states = 2.34 states/eV/cell; formation energy without anion corrections = -0.7721 eV/atom; SG = P-6m2
1.0
4.661 0.000 0.000
-2.330 4.036 0.000
0.000 0.000 3.651
Cl Te Zr
1 1 1
Direct
0.000 0.000 0.834 Cl
0.667 0.333 0.334 Te
0.333 0.667 0.833 Zr

=====

PBE ZnSb2Ir, relaxed; Fermi-level density of states = 1.58 states/eV/cell; formation energy without anion corrections = 0.0262 eV/atom; SG = Cm
1.0
-2.795 -2.564 2.507
-2.567 -3.635 -0.933
3.287 -5.111 1.810
Ir Sb Zn
1 2 1
Direct
0.251 0.251 0.319 Ir
0.996 0.996 0.088 Sb
0.738 0.738 0.656 Sb
0.514 0.514 0.438 Zn

=====

PBE PrZn2Pd10, relaxed; formation energy = -0.408 eV/atom; Fermi-level density of states = 9.15 states/eV/cell; SG = Fmmm
1.0
5.249 0.000 0.000
2.624 6.467 0.000
2.624 0.000 6.346
Pr Zn Pd
1 2 10
Direct
0.000 0.000 0.000 Pr
0.000 0.500 0.000 Zn
0.500 0.500 0.000 Zn
0.347 0.646 0.660 Pd
0.653 0.354 0.340 Pd
0.993 0.354 0.660 Pd
0.007 0.646 0.340 Pd
0.000 0.000 0.500 Pd
0.500 0.000 0.500 Pd
0.279 0.227 0.214 Pd
0.721 0.773 0.786 Pd
0.506 0.773 0.214 Pd
0.494 0.227 0.786 Pd

=====

PBE Hf2Sb2Cl, relaxed; Fermi-level density of states = 3.20 states/eV/cell; formation energy without anion corrections = -0.5737 eV/atom; SG = P4/mbm
1.0
-2.036 -5.315 5.391
-4.343 -3.752 -5.340
2.988 -2.108 -0.949
Sb Hf Cl
4 4 2
Direct
0.147 0.647 0.500 Sb
0.647 0.853 0.500 Sb
0.853 0.353 0.500 Sb
0.353 0.147 0.500 Sb
0.354 0.854 0.000 Hf
0.854 0.646 0.000 Hf
0.646 0.146 0.000 Hf
0.146 0.354 0.000 Hf
0.000 0.000 0.000 Cl
0.500 0.500 0.000 Cl

=====

PBE ScInTe2, relaxed; Fermi-level density of states = 0.00 states/eV/cell; formation energy without anion corrections = -0.6303 eV/atom; SG = I-42d
1.0
8.025 0.000 0.000
0.000 8.025 0.000
4.013 4.013 4.642
Sc Te In
2 4 2
Direct
0.500 0.500 0.000 Sc
0.250 0.750 0.500 Sc
0.571 0.125 0.250 Te
0.179 0.625 0.250 Te
0.375 0.429 0.750 Te
0.875 0.821 0.750 Te
0.000 0.000 0.000 In
0.750 0.250 0.500 In

=====

PBE Ac2PrPt, relaxed; formation energy = -0.601 eV/atom; Fermi-level density of states = 16.54 states/eV/cell; SG = Pnma
1.0
-1.267 -2.763 6.270
3.558 -6.367 -2.086
9.181 3.952 3.597
Ac Pr Pt
8 4 4
Direct
0.172 0.679 0.066 Ac
0.328 0.179 0.434 Ac
0.828 0.321 0.566 Ac
0.672 0.821 0.934 Ac
0.828 0.321 0.934 Ac
0.672 0.821 0.566 Ac
0.172 0.679 0.434 Ac
0.328 0.179 0.066 Ac
0.657 0.535 0.250 Pr
0.843 0.035 0.250 Pr
0.343 0.465 0.750 Pr
0.157 0.965 0.750 Pr
0.058 0.377 0.250 Pt
0.442 0.877 0.250 Pt
0.942 0.623 0.750 Pt
0.558 0.123 0.750 Pt

=====

PBE AcCdO3, relaxed; Fermi-level density of states = 5.50 states/eV/cell; formation energy without anion corrections = -1.9307 eV/atom; SG = R-3c
1.0
-5.243 2.663 1.766
-4.452 -3.375 2.547
-1.395 0.554 5.698
Ac Cd O
2 2 6
Direct
0.750 0.750 0.750 Ac
0.250 0.250 0.250 Ac
0.000 0.000 0.000 Cd
0.500 0.500 0.500 Cd
0.250 0.652 0.250 O
0.348 0.152 0.750 O
0.152 0.750 0.750 O
0.848 0.250 0.250 O
0.652 0.848 0.250 O
0.750 0.348 0.750 O

=====

PBE BaCd2Te, relaxed; Fermi-level density of states = 0.73 states/eV/cell; formation energy without anion corrections = -0.5866 eV/atom; SG = I4/mmm
1.0
-1.793 0.211 6.854
4.123 -2.573 5.159
0.337 4.190 -5.706
Te Ba Cd
1 1 2
Direct
0.250 0.750 0.500 Te
0.750 0.250 0.500 Ba
0.000 0.000 0.000 Cd
0.500 0.500 0.000 Cd

=====

PBE CdSn2Ru, relaxed; formation energy = 0.522 eV/atom; Fermi-level density of states = 7.07 states/eV/cell; SG = I-42d
1.0
-1.644 -4.877 3.748
1.749 -4.090 -4.555
5.814 -4.626 1.938
Ru Sn Cd
2 4 2
Direct
0.500 0.500 0.000 Ru
0.250 0.750 0.500 Ru
0.567 0.125 0.250 Sn
0.183 0.625 0.250 Sn
0.375 0.433 0.750 Sn
0.875 0.817 0.750 Sn
0.000 0.000 0.000 Cd
0.750 0.250 0.500 Cd

=====

| no. | size of the total moment (Bohr magnetons per cell) |
| --- | --- |
| 1 | 0.00 |
| 2 | 1.74 |
| 3 | 4.32 |
| 4 | 0.00 |
| 5 | 0.00 |
| 6 | 0.00 |
| 7 | 0.00 |
| 8 | 0.00 |
| 9 | 0.00 |
| 10 | 0.00 |
| 11 | 0.00 |
| 12 | 0.00 |